Record 1
VASP calculation (PBE) on a relaxed AcGaCuBi crystal.

**Calculated volume**: 104 Å³ per cell
**E_form**: -0.208 eV per atom

Geometry as extended XYZ:
```
4
Lattice="0.0000 3.7280 3.7280 3.7280 0.0000 3.7280 3.7280 3.7280 0.0000" Properties=species:S:1:pos:R:3 pbc="T T T"
Ac 0.0000 0.0000 0.0000
Ga 1.8640 1.8640 1.8640
Cu 5.5919 5.5919 5.5919
Bi 3.7280 3.7280 3.7280
```


Record 2
VASP calculation (PBE) on a relaxed Fe2ICl crystal.

**E_form (uncorrected)**: 0.609 eV per atom
**Polymorph energy (0 for the lowest one)**: 0.00 eV/f.u.
**Calculated volume**: 145 Å³ per cell

Geometry as extended XYZ:
```
8
Lattice="-2.3552 2.3552 6.5491 2.3552 -2.3552 6.5491 2.3552 2.3552 -6.5491" Properties=species:S:1:pos:R:3 pbc="T T T"
Fe 3.5328 0.6955 -1.6373
Fe 0.6955 1.1776 1.6373
Fe -1.1776 1.6597 4.9118
Fe 1.6597 1.1776 8.1864
I 2.3552 0.0000 3.2746
I 0.0000 0.0000 6.5491
Cl 0.0000 0.0000 0.0000
Cl 0.0000 2.3552 3.2746
```